1.
{"formula": "TaAl2Ru", "functional": "GGA-PBE", "state": "optimized geometry", "formation_energy_ev_per_atom": -0.3218, "sg": "P4/mmm (123)", "energy_ev_per_atom": -7.475, "total_magnetization_mub_per_cell": 0.0, "cell": [[3.913, 0.000, 0.000], [0.000, 3.913, 0.000], [0.000, 0.000, 4.020]], "species": ["Ta", "Al", "Al", "Ru"], "fractional_positions": [[0.000, 0.000, 0.000], [0.000, 0.500, 0.500], [0.500, 0.000, 0.500], [0.500, 0.500, 0.000]]}

2.
{"formula": "Ta2AlRu", "functional": "GGA-PBE", "state": "optimized geometry", "formation_energy_ev_per_atom": -0.3084, "sg": "P4mm (99)", "energy_ev_per_atom": -9.489, "total_magnetization_mub_per_cell": 0.0, "cell": [[3.087, 0.000, 0.000], [0.000, 3.087, 0.000], [0.000, 0.000, 6.855]], "species": ["Ta", "Ta", "Al", "Ru"], "fractional_positions": [[0.000, 0.000, 0.000], [0.500, 0.500, 0.291], [0.000, 0.000, 0.557], [0.500, 0.500, 0.773]]}

3.
{"formula": "Ta2AlRu", "functional": "GGA-PBE", "state": "optimized geometry", "formation_energy_ev_per_atom": -0.2310, "sg": "Pm (6)", "energy_ev_per_atom": -9.412, "total_magnetization_mub_per_cell": 0.0, "cell": [[2.910, 0.000, 0.000], [0.000, 4.472, 0.000], [-0.763, 0.000, 5.032]], "species": ["Ta", "Ta", "Al", "Ru"], "fractional_positions": [[0.000, 0.000, 0.000], [0.211, 0.500, 0.684], [0.583, 0.500, 0.202], [0.552, 0.000, 0.495]]}

4.
{"formula": "TaAl2Ru", "functional": "GGA-PBE", "state": "optimized geometry", "formation_energy_ev_per_atom": -0.4580, "sg": "P4/mmm (123)", "energy_ev_per_atom": -7.611, "total_magnetization_mub_per_cell": 0.0, "cell": [[2.996, 0.000, 0.000], [0.000, 2.996, 0.000], [0.000, 0.000, 6.747]], "species": ["Ta", "Al", "Al", "Ru"], "fractional_positions": [[0.000, 0.000, 0.000], [0.500, 0.500, 0.290], [0.500, 0.500, 0.710], [0.000, 0.000, 0.500]]}

5.
{"formula": "Ta2AlRu", "functional": "GGA-PBE", "state": "optimized geometry", "formation_energy_ev_per_atom": -0.2012, "sg": "I4/mmm (139)", "energy_ev_per_atom": -9.382, "total_magnetization_mub_per_cell": 0.0, "cell": [[-1.955, 1.955, 4.260], [1.955, -1.955, 4.260], [1.955, 1.955, -4.260]], "species": ["Ta", "Ta", "Al", "Ru"], "fractional_positions": [[0.250, 0.750, 0.500], [0.750, 0.250, 0.500], [0.000, 0.000, 0.000], [0.500, 0.500, 0.000]]}

6.
{"formula": "TaAl2Ru", "functional": "GGA-PBE", "state": "optimized geometry", "formation_energy_ev_per_atom": -0.2574, "sg": "Pmmm (47)", "energy_ev_per_atom": -7.411, "total_magnetization_mub_per_cell": 0.0, "cell": [[3.060, 0.000, 0.000], [0.000, 4.380, 0.000], [0.000, 0.000, 4.636]], "species": ["Ta", "Al", "Al", "Ru"], "fractional_positions": [[0.000, 0.000, 0.000], [0.000, 0.500, 0.500], [0.500, 0.500, 0.000], [0.500, 0.000, 0.500]]}

7.
{"formula": "TaAl2Ru", "functional": "GGA-PBE", "state": "optimized geometry", "formation_energy_ev_per_atom": -0.2190, "sg": "C2/m (12)", "energy_ev_per_atom": -7.372, "total_magnetization_mub_per_cell": 0.0, "cell": [[2.697, -4.235, 0.000], [2.697, 4.235, 0.000], [-0.809, 0.000, 2.715]], "species": ["Ta", "Al", "Al", "Ru"], "fractional_positions": [[0.000, 0.000, 0.000], [0.000, 0.500, 0.500], [0.500, 0.000, 0.500], [0.500, 0.500, 0.000]]}

8.
{"formula": "Ta2AlRu2", "functional": "GGA-PBE", "state": "optimized geometry", "formation_energy_ev_per_atom": 0.0747, "sg": "I4/mmm (139)", "energy_ev_per_atom": -9.125, "relative_energy_mev_per_atom": 287, "total_magnetization_mub_per_cell": 0.0, "cell": [[-2.120, 2.120, 5.301], [2.120, -2.120, 5.301], [2.120, 2.120, -5.301]], "species": ["Ta", "Ta", "Al", "Ru", "Ru"], "fractional_positions": [[0.250, 0.750, 0.500], [0.750, 0.250, 0.500], [0.000, 0.000, 0.000], [0.385, 0.385, 0.000], [0.615, 0.615, 0.000]]}

9.
{"formula": "TaAl3Ru", "functional": "GGA-PBE", "state": "optimized geometry", "formation_energy_ev_per_atom": 0.5392, "sg": "Pm-3m (221)", "energy_ev_per_atom": -5.932, "relative_energy_mev_per_atom": 0, "total_magnetization_mub_per_cell": 1.9, "cell": [[4.561, 0.000, 0.000], [0.000, 4.561, 0.000], [0.000, 0.000, 4.561]], "species": ["Ta", "Al", "Al", "Al", "Ru"], "fractional_positions": [[0.000, 0.000, 0.000], [0.000, 0.500, 0.500], [0.500, 0.000, 0.500], [0.500, 0.500, 0.000], [0.500, 0.500, 0.500]]}

10.
{"formula": "TaAl4Ru", "functional": "GGA-PBE", "state": "optimized geometry", "formation_energy_ev_per_atom": -0.0172, "sg": "F-43m (216)", "energy_ev_per_atom": -6.034, "total_magnetization_mub_per_cell": 0.0, "cell": [[0.000, 3.570, 3.570], [3.570, 0.000, 3.570], [3.570, 3.570, 0.000]], "species": ["Ta", "Al", "Al", "Al", "Al", "Ru"], "fractional_positions": [[0.000, 0.000, 0.000], [0.124, 0.625, 0.625], [0.625, 0.124, 0.625], [0.625, 0.625, 0.124], [0.625, 0.625, 0.625], [0.250, 0.250, 0.250]]}

11.
{"formula": "TaAlRu4", "functional": "GGA-PBE", "state": "optimized geometry", "formation_energy_ev_per_atom": 0.0129, "sg": "F-43m (216)", "energy_ev_per_atom": -8.770, "total_magnetization_mub_per_cell": 0.0, "cell": [[0.000, 3.592, 3.592], [3.592, 0.000, 3.592], [3.592, 3.592, 0.000]], "species": ["Ta", "Al", "Ru", "Ru", "Ru", "Ru"], "fractional_positions": [[0.000, 0.000, 0.000], [0.750, 0.750, 0.750], [0.376, 0.376, 0.376], [0.376, 0.376, 0.873], [0.376, 0.873, 0.376], [0.873, 0.376, 0.376]]}

12.
{"formula": "Ta2AlRu", "functional": "GGA-PBE", "state": "optimized geometry", "formation_energy_ev_per_atom": -0.0252, "sg": "R-3m (166)", "energy_ev_per_atom": -9.206, "total_magnetization_mub_per_cell": 0.2, "cell": [[1.445, 0.834, 9.208], [-1.445, 0.834, 9.208], [0.000, -1.668, 9.208]], "species": ["Ta", "Ta", "Al", "Ru"], "fractional_positions": [[0.247, 0.247, 0.247], [0.753, 0.753, 0.753], [0.000, 0.000, 0.000], [0.500, 0.500, 0.500]]}

13.
{"formula": "Ta2AlRu", "functional": "GGA-PBE", "state": "optimized geometry", "formation_energy_ev_per_atom": -0.2069, "sg": "I-4m2 (119)", "energy_ev_per_atom": -9.388, "total_magnetization_mub_per_cell": 0.0, "cell": [[-1.905, 1.905, 4.499], [1.905, -1.905, 4.499], [1.905, 1.905, -4.499]], "species": ["Ta", "Ta", "Al", "Ru"], "fractional_positions": [[0.000, 0.000, 0.000], [0.750, 0.250, 0.500], [0.250, 0.750, 0.500], [0.500, 0.500, 0.000]]}

14.
{"formula": "Ta2AlRu", "functional": "GGA-PBE", "state": "optimized geometry", "formation_energy_ev_per_atom": -0.2648, "sg": "Pmmm (47)", "energy_ev_per_atom": -9.446, "total_magnetization_mub_per_cell": 0.0, "cell": [[3.469, 0.000, 0.000], [0.000, 4.303, 0.000], [0.000, 0.000, 4.334]], "species": ["Ta", "Ta", "Al", "Ru"], "fractional_positions": [[0.000, 0.000, 0.000], [0.500, 0.500, 0.000], [0.000, 0.500, 0.500], [0.500, 0.000, 0.500]]}

15.
{"formula": "TaAl2Ru", "functional": "GGA-PBE", "state": "optimized geometry", "formation_energy_ev_per_atom": -0.3088, "sg": "Imm2 (44)", "energy_ev_per_atom": -7.462, "total_magnetization_mub_per_cell": 0.0, "cell": [[-1.610, 2.184, 4.406], [1.610, -2.184, 4.406], [1.610, 2.184, -4.406]], "species": ["Ta", "Al", "Al", "Ru"], "fractional_positions": [[0.000, 0.000, 0.000], [0.471, 0.471, 0.000], [0.737, 0.237, 0.500], [0.234, 0.734, 0.500]]}

16.
{"formula": "TaAl3Ru", "functional": "GGA-PBE", "state": "optimized geometry", "formation_energy_ev_per_atom": 1.4726, "sg": "Pm-3m (221)", "energy_ev_per_atom": -4.999, "relative_energy_mev_per_atom": 933, "total_magnetization_mub_per_cell": 1.6, "cell": [[4.881, 0.000, 0.000], [0.000, 4.881, 0.000], [0.000, 0.000, 4.881]], "species": ["Ta", "Al", "Al", "Al", "Ru"], "fractional_positions": [[0.000, 0.000, 0.000], [0.000, 0.000, 0.500], [0.000, 0.500, 0.000], [0.500, 0.000, 0.000], [0.500, 0.500, 0.500]]}

17.
{"formula": "Ta4AlRu", "functional": "GGA-PBE", "state": "optimized geometry", "formation_energy_ev_per_atom": 0.2996, "sg": "F-43m (216)", "energy_ev_per_atom": -9.772, "total_magnetization_mub_per_cell": 0.0, "cell": [[0.000, 3.782, 3.782], [3.782, 0.000, 3.782], [3.782, 3.782, 0.000]], "species": ["Ta", "Ta", "Ta", "Ta", "Al", "Ru"], "fractional_positions": [[0.376, 0.376, 0.376], [0.376, 0.376, 0.873], [0.376, 0.873, 0.376], [0.873, 0.376, 0.376], [0.750, 0.750, 0.750], [0.000, 0.000, 0.000]]}

18.
{"formula": "TaAl2Ru", "functional": "GGA-PBE", "state": "optimized geometry", "formation_energy_ev_per_atom": -0.3492, "sg": "I-4m2 (119)", "energy_ev_per_atom": -7.503, "total_magnetization_mub_per_cell": 0.0, "cell": [[-1.980, 1.980, 3.922], [1.980, -1.980, 3.922], [1.980, 1.980, -3.922]], "species": ["Ta", "Al", "Al", "Ru"], "fractional_positions": [[0.000, 0.000, 0.000], [0.250, 0.750, 0.500], [0.500, 0.500, 0.000], [0.750, 0.250, 0.500]]}

19.
{"formula": "Ta2AlRu2", "functional": "GGA-PBE", "state": "optimized geometry", "formation_energy_ev_per_atom": -0.2125, "sg": "P4/mbm (127)", "energy_ev_per_atom": -9.412, "relative_energy_mev_per_atom": 0, "total_magnetization_mub_per_cell": 0.0, "cell": [[7.386, 0.000, 0.000], [0.000, 7.386, 0.000], [0.000, 0.000, 3.071]], "species": ["Ta", "Ta", "Ta", "Ta", "Al", "Al", "Ru", "Ru", "Ru", "Ru"], "fractional_positions": [[0.163, 0.337, 0.000], [0.337, 0.837, 0.000], [0.663, 0.163, 0.000], [0.837, 0.663, 0.000], [0.000, 0.000, 0.500], [0.500, 0.500, 0.500], [0.136, 0.636, 0.500], [0.364, 0.136, 0.500], [0.636, 0.864, 0.500], [0.864, 0.364, 0.500]]}

20.
{"formula": "Ta2AlRu", "functional": "GGA-PBE", "state": "optimized geometry", "formation_energy_ev_per_atom": -0.1252, "sg": "F-43m (216)", "energy_ev_per_atom": -9.306, "total_magnetization_mub_per_cell": 1.4, "cell": [[0.000, 3.194, 3.194], [3.194, 0.000, 3.194], [3.194, 3.194, 0.000]], "species": ["Ta", "Ta", "Al", "Ru"], "fractional_positions": [[0.000, 0.000, 0.000], [0.250, 0.250, 0.250], [0.750, 0.750, 0.750], [0.500, 0.500, 0.500]]}

21.
{"formula": "Ta3AlRu4", "functional": "GGA-PBE", "state": "optimized geometry", "formation_energy_ev_per_atom": -0.4980, "sg": "P4/mmm (123)", "energy_ev_per_atom": -10.048, "total_magnetization_mub_per_cell": 0.0, "cell": [[3.092, 0.000, 0.000], [0.000, 3.092, 0.000], [0.000, 0.000, 12.930]], "species": ["Ta", "Ta", "Ta", "Al", "Ru", "Ru", "Ru", "Ru"], "fractional_positions": [[0.000, 0.000, 0.000], [0.000, 0.000, 0.261], [0.000, 0.000, 0.739], [0.000, 0.000, 0.500], [0.500, 0.500, 0.138], [0.500, 0.500, 0.383], [0.500, 0.500, 0.617], [0.500, 0.500, 0.862]]}

22.
{"formula": "Ta2AlRu", "functional": "GGA-PBE", "state": "optimized geometry", "formation_energy_ev_per_atom": -0.3378, "sg": "Immm (71)", "energy_ev_per_atom": -9.519, "total_magnetization_mub_per_cell": 0.0, "cell": [[-1.611, 2.197, 4.572], [1.611, -2.197, 4.572], [1.611, 2.197, -4.572]], "species": ["Ta", "Ta", "Al", "Ru"], "fractional_positions": [[0.237, 0.237, 0.000], [0.763, 0.763, 0.000], [0.500, 0.000, 0.500], [0.000, 0.500, 0.500]]}

23.
{"formula": "Tb2TaAl2Ru5", "functional": "GGA-PBE", "state": "optimized geometry", "formation_energy_ev_per_atom": -0.4607, "sg": "P4/mbm (127)", "energy_ev_per_atom": -7.958, "total_magnetization_mub_per_cell": 0.0, "cell": [[10.151, 0.000, 0.000], [0.000, 10.151, 0.000], [0.000, 0.000, 3.294]], "species": ["Tb", "Tb", "Tb", "Tb", "Ta", "Ta", "Al", "Al", "Al", "Al", "Ru", "Ru", "Ru", "Ru", "Ru", "Ru", "Ru", "Ru", "Ru", "Ru"], "fractional_positions": [[0.172, 0.328, 0.000], [0.328, 0.828, 0.000], [0.672, 0.172, 0.000], [0.828, 0.672, 0.000], [0.000, 0.000, 0.000], [0.500, 0.500, 0.000], [0.127, 0.627, 0.000], [0.373, 0.127, 0.000], [0.627, 0.873, 0.000], [0.873, 0.373, 0.000], [0.000, 0.500, 0.500], [0.066, 0.801, 0.500], [0.199, 0.066, 0.500], [0.301, 0.566, 0.500], [0.434, 0.301, 0.500], [0.500, 0.000, 0.500], [0.566, 0.699, 0.500], [0.699, 0.434, 0.500], [0.801, 0.934, 0.500], [0.934, 0.199, 0.500]]}

24.
{"formula": "TaTiAl2Ru", "functional": "GGA-PBE", "state": "optimized geometry", "formation_energy_ev_per_atom": 1.3471, "sg": "P4/mmm (123)", "energy_ev_per_atom": -5.955, "total_magnetization_mub_per_cell": 1.8, "cell": [[4.909, 0.000, 0.000], [0.000, 4.909, 0.000], [0.000, 0.000, 4.551]], "species": ["Ta", "Ti", "Al", "Al", "Ru"], "fractional_positions": [[0.000, 0.000, 0.000], [0.000, 0.000, 0.500], [0.000, 0.500, 0.000], [0.500, 0.000, 0.000], [0.500, 0.500, 0.500]]}

25.
{"formula": "Ta2AlV2Ru5", "functional": "GGA-PBE", "state": "optimized geometry", "formation_energy_ev_per_atom": -0.1490, "sg": "P4/mbm (127)", "energy_ev_per_atom": -9.355, "total_magnetization_mub_per_cell": 0.0, "cell": [[9.925, 0.000, 0.000], [0.000, 9.925, 0.000], [0.000, 0.000, 3.054]], "species": ["Ta", "Ta", "Ta", "Ta", "Al", "Al", "V", "V", "V", "V", "Ru", "Ru", "Ru", "Ru", "Ru", "Ru", "Ru", "Ru", "Ru", "Ru"], "fractional_positions": [[0.176, 0.324, 0.000], [0.324, 0.824, 0.000], [0.676, 0.176, 0.000], [0.824, 0.676, 0.000], [0.000, 0.000, 0.000], [0.500, 0.500, 0.000], [0.135, 0.635, 0.000], [0.365, 0.135, 0.000], [0.635, 0.865, 0.000], [0.865, 0.365, 0.000], [0.000, 0.500, 0.500], [0.050, 0.800, 0.500], [0.200, 0.050, 0.500], [0.300, 0.550, 0.500], [0.450, 0.300, 0.500], [0.500, 0.000, 0.500], [0.550, 0.700, 0.500], [0.700, 0.450, 0.500], [0.800, 0.950, 0.500], [0.950, 0.200, 0.500]]}

26.
{"formula": "YTaAlRu2", "functional": "GGA-PBE", "state": "optimized geometry", "formation_energy_ev_per_atom": 1.0551, "sg": "P4/mmm (123)", "energy_ev_per_atom": -7.067, "total_magnetization_mub_per_cell": 0.6, "cell": [[4.701, 0.000, 0.000], [0.000, 4.701, 0.000], [0.000, 0.000, 5.419]], "species": ["Y", "Ta", "Al", "Ru", "Ru"], "fractional_positions": [[0.000, 0.000, 0.000], [0.000, 0.000, 0.500], [0.500, 0.500, 0.000], [0.000, 0.500, 0.500], [0.500, 0.000, 0.500]]}

27.
{"formula": "TbAlRu2", "functional": "GGA-PBE", "state": "optimized geometry", "formation_energy_ev_per_atom": -0.3628, "sg": "P4/mmm (123)", "energy_ev_per_atom": -7.094, "total_magnetization_mub_per_cell": 0.0, "cell": [[3.235, 0.000, 0.000], [0.000, 3.235, 0.000], [0.000, 0.000, 6.419]], "species": ["Tb", "Al", "Ru", "Ru"], "fractional_positions": [[0.000, 0.000, 0.000], [0.000, 0.000, 0.500], [0.500, 0.500, 0.285], [0.500, 0.500, 0.715]]}